#w
{
  "formula": "Fe3PbBr",
  "functional": "PBE",
  "state": "optimized geometry",
  "lattice": [[5.1339, 0.0000, 0.0000], [0.0000, 5.1339, 0.0000], [0.0000, 0.0000, 5.1339]],
  "species": ["Fe", "Fe", "Fe", "Pb", "Br"],
  "frac_coords": [[0.0000, 0.0000, 0.5000], [0.0000, 0.5000, 0.0000], [0.5000, 0.0000, 0.0000], [0.0000, 0.0000, 0.0000], [0.5000, 0.5000, 0.5000]],
  "m_tot_mub_per_cell": 10.8
}



#x
{
  "formula": "Fe3PbBr",
  "functional": "PBE",
  "state": "optimized geometry",
  "lattice": [[4.5305, 0.0000, 0.0000], [0.0000, 4.5305, 0.0000], [0.0000, 0.0000, 4.5305]],
  "species": ["Fe", "Fe", "Fe", "Pb", "Br"],
  "frac_coords": [[0.0000, 0.0000, 0.5000], [0.0000, 0.5000, 0.0000], [0.5000, 0.0000, 0.0000], [0.5000, 0.5000, 0.5000], [0.0000, 0.0000, 0.0000]],
  "m_tot_mub_per_cell": 7.0
}



It turns out #x is the most stable, with the second structure 38.4 kJ/mol of atoms higher.



#w
{
  "formula": "Fe3PdBr",
  "functional": "PBE",
  "state": "optimized geometry",
  "lattice": [[4.3498, 0.0000, 0.0000], [0.0000, 4.3498, 0.0000], [0.0000, 0.0000, 4.3498]],
  "species": ["Fe", "Fe", "Fe", "Pd", "Br"],
  "frac_coords": [[0.0000, 0.0000, 0.5000], [0.0000, 0.5000, 0.0000], [0.5000, 0.0000, 0.0000], [0.5000, 0.5000, 0.5000], [0.0000, 0.0000, 0.0000]],
  "m_tot_mub_per_cell": 7.0
}



#x
{
  "formula": "Fe3PdBr",
  "functional": "PBE",
  "state": "optimized geometry",
  "lattice": [[4.7573, 0.0000, 0.0000], [0.0000, 4.7573, 0.0000], [0.0000, 0.0000, 4.7573]],
  "species": ["Fe", "Fe", "Fe", "Pd", "Br"],
  "frac_coords": [[0.0000, 0.0000, 0.5000], [0.0000, 0.5000, 0.0000], [0.5000, 0.0000, 0.0000], [0.0000, 0.0000, 0.0000], [0.5000, 0.5000, 0.5000]],
  "m_tot_mub_per_cell": 10.4
}



It turns out #w is the most stable, with the second structure 2.6 kJ/mol of atoms higher.



#w
{
  "formula": "Fe2PdBr2",
  "functional": "PBE",
  "state": "optimized geometry",
  "lattice": [[-2.4812, 2.4812, 3.8556], [2.4812, -2.4812, 3.8556], [2.4812, 2.4812, -3.8556]],
  "species": ["Fe", "Fe", "Pd", "Br", "Br"],
  "frac_coords": [[0.1448, 0.1448, 0.0000], [0.8552, 0.8552, 0.0000], [0.5000, 0.5000, 0.0000], [0.2500, 0.7500, 0.5000], [0.7500, 0.2500, 0.5000]],
  "m_tot_mub_per_cell": 6.1
}



#x
{
  "formula": "Fe2PdBr2",
  "functional": "PBE",
  "state": "optimized geometry",
  "lattice": [[6.7803, 0.0000, 0.0000], [0.0000, 6.7803, 0.0000], [0.0000, 0.0000, 3.8668]],
  "species": ["Fe", "Fe", "Fe", "Fe", "Pd", "Pd", "Br", "Br", "Br", "Br"],
  "frac_coords": [[0.1251, 0.3749, 0.0000], [0.3749, 0.8749, 0.0000], [0.6251, 0.1251, 0.0000], [0.8749, 0.6251, 0.0000], [0.0000, 0.0000, 0.0000], [0.5000, 0.5000, 0.0000], [0.1706, 0.6706, 0.5000], [0.3294, 0.1706, 0.5000], [0.6706, 0.8294, 0.5000], [0.8294, 0.3294, 0.5000]],
  "m_tot_mub_per_cell": 12.2
}



It turns out #x is the most stable, with the second structure 5.5 kJ/mol of atoms higher.



#w
{
  "formula": "FePd3Br",
  "functional": "PBE",
  "state": "optimized geometry",
  "lattice": [[4.7030, 0.0000, 0.0000], [0.0000, 4.7030, 0.0000], [0.0000, 0.0000, 4.7030]],
  "species": ["Fe", "Pd", "Pd", "Pd", "Br"],
  "frac_coords": [[0.0000, 0.0000, 0.0000], [0.0000, 0.5000, 0.5000], [0.5000, 0.0000, 0.5000], [0.5000, 0.5000, 0.0000], [0.5000, 0.5000, 0.5000]],
  "m_tot_mub_per_cell": 3.2
}



#x
{
  "formula": "FePd3Br",
  "functional": "PBE",
  "state": "optimized geometry",
  "lattice": [[4.7096, 0.0000, 0.0000], [0.0000, 4.7096, 0.0000], [0.0000, 0.0000, 4.7096]],
  "species": ["Fe", "Pd", "Pd", "Pd", "Br"],
  "frac_coords": [[0.0000, 0.0000, 0.0000], [0.0000, 0.0000, 0.5000], [0.0000, 0.5000, 0.0000], [0.5000, 0.0000, 0.0000], [0.5000, 0.5000, 0.5000]],
  "m_tot_mub_per_cell": 4.7
}



It turns out #x is the most stable, with the second structure 21.0 kJ/mol of atoms higher.



#w
{
  "formula": "FePtBr2",
  "functional": "PBE",
  "state": "optimized geometry",
  "lattice": [[-1.5816, 3.1230, 4.1995], [1.5816, -3.1230, 4.1995], [1.5816, 3.1230, -4.1995]],
  "species": ["Fe", "Pt", "Br", "Br"],
  "frac_coords": [[0.0000, 0.0000, 0.0000], [0.5000, 0.5000, 0.0000], [0.2279, 0.7279, 0.5000], [0.7721, 0.2721, 0.5000]],
  "m_tot_mub_per_cell": 3.3
}



#x
{
  "formula": "FePtBr2",
  "functional": "PBE",
  "state": "optimized geometry",
  "lattice": [[4.2670, 0.0000, 0.0000], [0.0000, 3.5040, 0.0000], [-1.7094, 0.0000, 5.1956]],
  "species": ["Fe", "Pt", "Br", "Br"],
  "frac_coords": [[0.0000, 0.0000, 0.0000], [0.5000, 0.5000, 0.5000], [0.0000, 0.0000, 0.5000], [0.5000, 0.5000, 0.0000]],
  "m_tot_mub_per_cell": 3.4
}



#y
{
  "formula": "FePtBr2",
  "functional": "PBE",
  "state": "optimized geometry",
  "lattice": [[1.7401, 1.0047, 7.5840], [-1.7401, 1.0047, 7.5840], [0.0000, -2.0093, 7.5840]],
  "species": ["Fe", "Pt", "Br", "Br"],
  "frac_coords": [[0.0000, 0.0000, 0.0000], [0.5000, 0.5000, 0.5000], [0.3924, 0.3924, 0.3924], [0.6076, 0.6076, 0.6076]],
  "m_tot_mub_per_cell": 0.0
}



#z
{
  "formula": "FePtBr2",
  "functional": "PBE",
  "state": "optimized geometry",
  "lattice": [[3.4202, 0.0000, 0.0000], [0.0000, 3.4202, 0.0000], [0.0000, 0.0000, 7.7218]],
  "species": ["Fe", "Pt", "Br", "Br"],
  "frac_coords": [[0.0000, 0.0000, 0.0000], [0.5000, 0.5000, 0.1404], [0.0000, 0.0000, 0.3461], [0.5000, 0.5000, 0.7815]],
  "m_tot_mub_per_cell": 4.0
}



It turns out #z is the most stable, with the second structure 26.9 kJ/mol of atoms higher.



#w
{
  "formula": "FePtBr2",
  "functional": "PBE",
  "state": "optimized geometry",
  "lattice": [[1.7976, -3.1028, 0.0000], [1.7976, 3.1028, 0.0000], [0.0000, 0.0000, 8.9863]],
  "species": ["Fe", "Pt", "Br", "Br"],
  "frac_coords": [[0.0000, 0.0000, 0.0000], [0.5000, 0.5000, 0.8229], [0.0000, 0.0000, 0.6175], [0.5000, 0.5000, 0.1965]],
  "m_tot_mub_per_cell": 3.7
}



#x
{
  "formula": "FePtBr2",
  "functional": "PBE",
  "state": "optimized geometry",
  "lattice": [[7.3306, -1.7215, 0.0000], [7.3306, 1.7215, 0.0000], [-0.3436, 0.0000, 4.1591]],
  "species": ["Fe", "Pt", "Br", "Br"],
  "frac_coords": [[0.0000, 0.0000, 0.0000], [0.5000, 0.5000, 0.5000], [0.3632, 0.3632, 0.7959], [0.6368, 0.6368, 0.2041]],
  "m_tot_mub_per_cell": 4.0
}



It turns out #x is the most stable, with the second structure 13.5 kJ/mol of atoms higher.